Entry from the Alexandria database: FeRhBr2 after structural relaxation (GGA-PBE).

Output
Raw formation energy: 2.04 eV per formula unit
Raw total energy: -4.28 eV/atom
Distance to the lowest polymorph of the same formula: 2.14 eV per formula unit

Unit cell a=7.8209 b=7.8209 c=7.8209 alpha=25.36 beta=25.36 gamma=25.36
Site moments in Bohr magnetons follow the coordinates.
Atoms (fractional coordinates):
Fe 0.5000 0.5000 0.5000  0.09
Br 0.8934 0.8934 0.8934  0.00
Rh 0.0000 0.0000 0.0000  0.61
Br 0.1066 0.1066 0.1066  0.00

Entry from the Alexandria database: Fe2RhBr after structural relaxation (GGA-PBE).

Output
Raw formation energy: 2.00 eV per formula unit
Raw total energy: -5.99 eV/atom
Distance to the lowest polymorph of the same formula: 0.87 eV per formula unit

Unit cell a=2.8897 b=2.8897 c=8.3257 alpha=90.00 beta=90.00 gamma=114.33
Site moments in Bohr magnetons follow the coordinates.
Atoms (fractional coordinates):
Fe 0.0000 0.0000 0.0172  2.89
Rh 0.0000 0.0000 0.4681  0.80
Fe 0.5000 0.5000 0.2399  2.94
Br 0.5000 0.5000 0.7748  0.15

Entry from the Alexandria database: FeRhBr2 after structural relaxation (GGA-PBE).

Output
Raw formation energy: 3.36 eV per formula unit
Raw total energy: -3.95 eV/atom
Distance to the lowest polymorph of the same formula: 3.47 eV per formula unit

Unit cell a=4.7600 b=4.7600 c=4.7600 alpha=60.00 beta=60.00 gamma=60.00
Site moments in Bohr magnetons follow the coordinates.
Atoms (fractional coordinates):
Br 0.2500 0.2500 0.2500  0.18
Br 0.0000 0.0000 0.0000  0.17
Rh 0.7500 0.7500 0.7500  1.02
Fe 0.5000 0.5000 0.5000  3.35

Entry from the Alexandria database: FeRhBr2 after structural relaxation (GGA-PBE).

Output
Raw formation energy: 2.14 eV per formula unit
Raw total energy: -4.26 eV/atom
Distance to the lowest polymorph of the same formula: 2.24 eV per formula unit

Unit cell a=5.3305 b=5.3305 c=5.3305 alpha=144.70 beta=109.30 gamma=81.57
Site moments in Bohr magnetons follow the coordinates.
Atoms (fractional coordinates):
Br 0.0086 0.0086 0.0000  0.04
Rh 0.7500 0.2500 0.5000  -0.13
Fe 0.2500 0.7500 0.5000  3.12
Br 0.4914 0.4914 0.0000  0.04

Entry from the Alexandria database: Fe2RhBr after structural relaxation (GGA-PBE).

Output
Raw formation energy: 1.28 eV per formula unit
Raw total energy: -6.17 eV/atom
Distance to the lowest polymorph of the same formula: 0.16 eV per formula unit

Unit cell a=3.1070 b=3.1070 c=6.5913 alpha=90.00 beta=90.00 gamma=90.00
Site moments in Bohr magnetons follow the coordinates.
Atoms (fractional coordinates):
Fe 0.5000 0.5000 0.2432  3.01
Br 0.5000 0.5000 0.7840  0.15
Rh 0.0000 0.0000 0.4388  0.86
Fe 0.0000 0.0000 0.0339  2.96

Entry from the Alexandria database: Fe4RhBr after structural relaxation (GGA-PBE).

Output
Raw formation energy: 3.28 eV per formula unit
Raw total energy: -6.60 eV/atom

Unit cell a=4.9509 b=4.9509 c=4.9509 alpha=60.00 beta=60.00 gamma=60.00
Site moments in Bohr magnetons follow the coordinates.
Atoms (fractional coordinates):
Fe 0.3759 0.3759 0.3759  2.76
Fe 0.8724 0.3759 0.3759  2.76
Rh 0.7500 0.7500 0.7500  0.75
Br 0.0000 0.0000 0.0000  0.11
Fe 0.3759 0.3759 0.8724  2.76
Fe 0.3759 0.8724 0.3759  2.76

Entry from the Alexandria database: FeRhBr2 after structural relaxation (GGA-PBE).

Output
Raw formation energy: 2.19 eV per formula unit
Raw total energy: -4.24 eV/atom
Distance to the lowest polymorph of the same formula: 2.29 eV per formula unit

Unit cell a=4.0465 b=3.4586 c=5.7819 alpha=94.97 beta=90.00 gamma=90.00
Site moments in Bohr magnetons follow the coordinates.
Atoms (fractional coordinates):
Rh 0.5000 0.7500 0.7500  -0.29
Br 0.0000 0.4970 0.4995  0.02
Br 0.0000 0.0030 0.0005  0.02
Fe 0.5000 0.2500 0.2500  3.10

Entry from the Alexandria database: Fe2RhBr after structural relaxation (GGA-PBE).

Output
Raw formation energy: 1.59 eV per formula unit
Raw total energy: -6.09 eV/atom
Distance to the lowest polymorph of the same formula: 0.46 eV per formula unit

Unit cell a=8.2259 b=8.2259 c=8.2259 alpha=21.03 beta=21.03 gamma=21.03
Site moments in Bohr magnetons follow the coordinates.
Atoms (fractional coordinates):
Rh 0.5104 0.5104 0.5104  0.66
Fe 0.2530 0.2530 0.2530  2.96
Br 0.7403 0.7403 0.7403  0.11
Fe 0.9963 0.9963 0.9963  2.83

Entry from the Alexandria database: Fe2RhBr after structural relaxation (GGA-PBE).

Output
Raw formation energy: 2.22 eV per formula unit
Raw total energy: -5.93 eV/atom
Distance to the lowest polymorph of the same formula: 1.09 eV per formula unit

Unit cell a=5.1833 b=5.1833 c=5.1833 alpha=145.95 beta=128.63 gamma=63.07
Site moments in Bohr magnetons follow the coordinates.
Atoms (fractional coordinates):
Fe 0.9919 0.9919 0.0000  2.95
Br 0.2375 0.7375 0.5000  0.12
Rh 0.5064 0.5064 0.0000  0.76
Fe 0.7642 0.2642 0.5000  2.95

Entry from the Alexandria database: FeRhBr2 after structural relaxation (GGA-PBE).

Output
Raw formation energy: -0.10 eV per formula unit
Raw total energy: -4.82 eV/atom
Distance to the lowest polymorph of the same formula: 0.00 eV per formula unit

Unit cell a=8.4583 b=8.4583 c=8.4583 alpha=24.45 beta=24.45 gamma=24.45
Site moments in Bohr magnetons follow the coordinates.
Atoms (fractional coordinates):
Br 0.2169 0.2169 0.2169  0.04
Br 0.0336 0.0336 0.0336  -0.10
Rh 0.7649 0.7649 0.7649  0.17
Fe 0.4846 0.4846 0.4846  2.83

Entry from the Alexandria database: Fe2RhBr after structural relaxation (GGA-PBE).

Output
Raw formation energy: 4.14 eV per formula unit
Raw total energy: -5.45 eV/atom
Distance to the lowest polymorph of the same formula: 3.01 eV per formula unit

Unit cell a=5.6139 b=5.6139 c=6.1108 alpha=62.66 beta=62.66 gamma=90.00
Atoms (fractional coordinates):
Fe 0.6334 0.1250 0.2500
Fe 0.1166 0.6250 0.2500
Fe 0.8750 0.8834 0.7500
Fe 0.3750 0.3666 0.7500
Rh 0.7500 0.2500 0.5000
Rh 0.0000 0.0000 0.0000
Br 0.5000 0.5000 0.0000
Br 0.2500 0.7500 0.5000

Entry from the Alexandria database: Fe2RhBr after structural relaxation (GGA-PBE).

Output
Raw formation energy: 2.59 eV per formula unit
Raw total energy: -5.84 eV/atom
Distance to the lowest polymorph of the same formula: 1.47 eV per formula unit

Unit cell a=5.0140 b=5.0140 c=5.0140 alpha=136.06 beta=136.06 gamma=63.88
Site moments in Bohr magnetons follow the coordinates.
Atoms (fractional coordinates):
Fe 0.5000 0.5000 0.0000  2.97
Br 0.7500 0.2500 0.5000  0.09
Fe 0.0000 0.0000 0.0000  2.97
Rh 0.2500 0.7500 0.5000  0.46